The following is a DFT calculation (PBE) of crystalline Sm2ScAs3 at its relaxed geometry.

Computed properties:
Space-group type: P-3m1
Total magnetization: 0.0 μB/f.u.
Electronic total energy: -6.41 eV/atom

Cell lengths 4.099, 4.099, 9.990 Å; angles 90.00, 90.00, 120.00 degrees
Fractional positions:
As 0.000 0.000 0.000
As 0.333 0.667 0.352
As 0.667 0.333 0.648
Sc 0.000 0.000 0.500
Sm 0.667 0.333 0.175
Sm 0.333 0.667 0.825